A plane-wave DFT calculation with PBE-GGA was carried out for a relaxed structure of CaMoIr2Pt.

Lattice parameters (Å, degrees): 4.668 4.709 4.668 90.00 90.00 90.00
Sites, in units of the cell vectors:
Mo (0.500, 0.500, 0.500)
Ir (0.000, 0.000, 0.500)
Ir (0.500, 0.000, 0.000)
Ca (0.000, 0.000, 0.000)
Pt (0.000, 0.500, 0.000)

Symmetry   P4/mmm, No. 123
ρ   11.58 g cm⁻³
Calculated volume   20.5 Å³/atom
Electronic total energy   -25.15 eV for the cell shown
Energy of formation from the pure elements   2.29 eV per atom